No. 1
Density functional theory data (PBE) for a relaxed structure of SrLiSi2H.

Computed properties:
- theoretical density (g/cm³) = 2.98
- final energy (eV/atom) = -3.46
- density of states at the Fermi level (states/eV per atom) = 0.1354

Unit cell a=4.2672 b=4.2672 c=4.6435 alpha=90.00 beta=90.00 gamma=90.00
Sites, in units of the cell vectors:
Sr: 0.0000 0.0000 0.0000
Li: 0.5000 0.5000 0.0000
Si: 0.0000 0.5000 0.5000
Si: 0.5000 0.0000 0.5000
H: 0.0000 0.0000 0.5000

=====

No. 2
Density functional theory data (PBE) for a relaxed structure of K3RbBr4.

Computed properties:
- theoretical density (g/cm³) = 2.80
- density of states at the Fermi level (states/eV per atom) = 0.0000
- ΔE_f (raw) (eV per atom) = -1.75

Unit cell a=8.2905 b=8.2905 c=4.7835 alpha=90.00 beta=90.00 gamma=109.45
Sites, in units of the cell vectors:
K: 0.0000 0.0000 0.0000
K: 0.0000 0.5000 0.5000
K: 0.5000 0.0000 0.5000
Rb: 0.5000 0.5000 0.0000
Br: 0.2418 0.2418 0.5000
Br: 0.2461 0.7539 0.0000
Br: 0.7539 0.2461 0.0000
Br: 0.7582 0.7582 0.5000

=====

No. 3
Density functional theory data (PBE) for a relaxed structure of ZrH2AuN.

Computed properties:
- theoretical density (g/cm³) = 7.76
- final energy (eV/atom) = -5.55
- density of states at the Fermi level (states/eV per atom) = 0.2552

Unit cell a=3.2710 b=3.2710 c=6.0849 alpha=90.00 beta=90.00 gamma=90.00
Sites, in units of the cell vectors:
Zr: 0.0000 0.0000 0.0000
H: 0.0000 0.5000 0.5000
H: 0.5000 0.0000 0.5000
Au: 0.0000 0.0000 0.5000
N: 0.5000 0.5000 0.0000

=====

No. 4
Density functional theory data (PBE) for a relaxed structure of TaVTc2Ag.

Computed properties:
- calculated formation energy (eV per atom) = 1.27
- theoretical density (g/cm³) = 9.79
- density of states at the Fermi level (states/eV per atom) = 1.2919

Unit cell a=4.3964 b=4.3964 c=4.7029 alpha=90.00 beta=90.00 gamma=90.00
Sites, in units of the cell vectors:
Ta: 0.0000 0.0000 0.0000
V: 0.5000 0.5000 0.5000
Tc: 0.0000 0.5000 0.5000
Tc: 0.5000 0.0000 0.5000
Ag: 0.5000 0.5000 0.0000

=====

No. 5
Density functional theory data (PBE) for a relaxed structure of Tb2CN.

Computed properties:
- theoretical density (g/cm³) = 8.94
- density of states at the Fermi level (states/eV per atom) = 0.6047
- ΔE_f (raw) (eV per atom) = -0.76

Unit cell a=6.2624 b=6.2624 c=6.2624 alpha=32.74 beta=32.74 gamma=32.74
Sites, in units of the cell vectors:
Tb: 0.2468 0.2468 0.2468
Tb: 0.7532 0.7532 0.7532
C: 0.0000 0.0000 0.0000
N: 0.5000 0.5000 0.5000

=====

No. 6
Density functional theory data (PBE) for a relaxed structure of ScMn2Fe.

Computed properties:
- calculated formation energy (eV per atom) = 0.27
- theoretical density (g/cm³) = 6.82
- density of states at the Fermi level (states/eV per atom) = 1.3884
- offset from the most stable computed form (meV per atom) = 176.5

Unit cell a=4.9027 b=4.9027 c=2.5985 alpha=100.26 beta=100.26 gamma=118.76
Sites, in units of the cell vectors:
Sc: 0.0000 0.0000 0.0000
Mn: 0.0000 0.5000 0.5000
Mn: 0.5000 0.0000 0.5000
Fe: 0.5000 0.5000 0.0000